Record 1
# GdDyMg2Au4

A relaxed structure of GdDyMg2Au4 (PBE, the Open Quantum Materials Database).

a = 4.929 Å, b = 6.786 Å, c = 4.954 Å
α = 90.00°, β = 90.00°, γ = 90.00°
Fractional coordinates of all 8 atoms:
Au: 0.500 0.750 0.736
Mg: 0.000 0.000 0.750
Au: 0.000 0.253 0.264
Au: 0.500 0.250 0.736
Gd: 0.500 0.000 0.236
Dy: 0.000 0.500 0.764
Mg: 0.500 0.500 0.250
Au: 0.000 0.747 0.264

## Properties
For the density, the calculation gives 11.59 Mg/m³. The value obtained for the calculated volume is 166 Å³ per cell. The symmetry is Pmm2. The calculation puts the magnetic moment at 0.0 μB per cell. For the total DFT energy (no corrections), the calculation gives -3.9523 eV/atom.

***

Record 2
# CsSmPbSe3

A relaxed structure of CsSmPbSe3 (PBE, the Open Quantum Materials Database).

a = 8.701 Å, b = 8.701 Å, c = 12.259 Å
α = 90.00°, β = 90.00°, γ = 151.41°
Fractional coordinates of all 12 atoms:
Se: 0.519 0.481 0.250
Cs: 0.201 0.799 0.250
Pb: 0.093 0.907 0.750
Sm: 0.500 0.500 0.000
Se: 0.883 0.117 0.490
Pb: 0.907 0.093 0.250
Cs: 0.799 0.201 0.750
Sm: 0.500 0.500 0.500
Se: 0.117 0.883 0.510
Se: 0.117 0.883 0.990
Se: 0.883 0.117 0.010
Se: 0.481 0.519 0.750

## Properties
For the density, the calculation gives 5.44 Mg/m³. The calculation puts the energy above the most stable polymorph in this dataset at 49.8 kJ/mol of formula units. The value obtained for the calculated volume is 444 Å³ per cell. The symmetry is Cmcm. The calculation puts the magnetic moment at 0.0 μB per cell.

***

Record 3
# PrGdSn2Pd4

A relaxed structure of PrGdSn2Pd4 (PBE, the Open Quantum Materials Database).

a = 4.623 Å, b = 4.623 Å, c = 9.160 Å
α = 90.00°, β = 90.00°, γ = 120.00°
Fractional coordinates of all 8 atoms:
Sn: 0.667 0.333 0.744
Pd: 0.333 0.667 0.339
Pr: 0.333 0.667 0.000
Pd: 0.000 0.000 0.827
Pd: 0.333 0.667 0.661
Gd: 0.000 0.000 0.500
Sn: 0.667 0.333 0.256
Pd: 0.000 0.000 0.173

## Properties
For the density, the calculation gives 9.42 Mg/m³. The value obtained for the calculated volume is 170 Å³ per cell. The symmetry is P-6m2. The calculation puts the magnetic moment at 0.0 μB per cell. For the total DFT energy (no corrections), the calculation gives -5.6217 eV/atom.

***

Q: Which value of density does entry 1 give?
A: 11.59 Mg/m³

***

Q: calculated volume of number 3 (PrGdSn2Pd4)?
A: 170 Å³ per cell